# 1
NaCrCo3 | PBEsol | relaxed Values from VASP.

Summary:
Its space group is No. 221. The crystal system is cubic. The calculation puts the formation energy at 2.241 eV/atom. Its total moment is 1.789 μB per atom. The density of states at the Fermi level comes out at 14.40 states/eV/cell. The calculation puts the total energy at -4.730 eV/atom. As for the energy above the lowest structure with this stoichiometry: 25.24 kcal/mol of atoms.

```
&SYSTEM
  ibrav = 0, nat = 5, ntyp = 3
/
ATOMIC_SPECIES
Cr 52.00 Cr.upf
Co 58.93 Co.upf
Na 22.99 Na.upf
CELL_PARAMETERS angstrom
-2.7176 -1.1992 -3.0338
0.9571 -4.0680 0.7507
-3.1187 -0.2033 2.8740
ATOMIC_POSITIONS angstrom
Cr -2.4396 -2.7353 0.2955
Co 0.4785 -2.0340 0.3754
Co -1.5594 -0.1017 1.4370
Co -1.3588 -0.5996 -1.5169
Na 0.0000 0.0000 0.0000
```

# 2
Na2CrCo | PBEsol | relaxed Values from VASP.

Summary:
Its space group is No. 225. The crystal system is cubic. The calculation puts the formation energy at 1.327 eV/atom. Its total moment is 1.517 μB per atom. The density of states at the Fermi level comes out at 6.61 states/eV/cell. The calculation puts the total energy at -3.868 eV/atom.

```
&SYSTEM
  ibrav = 0, nat = 4, ntyp = 3
/
ATOMIC_SPECIES
Cr 52.00 Cr.upf
Co 58.93 Co.upf
Na 22.99 Na.upf
CELL_PARAMETERS angstrom
4.7841 0.0000 0.0000
2.3920 4.1431 0.0000
2.3920 1.3810 3.9062
ATOMIC_POSITIONS angstrom
Cr 0.0000 0.0000 0.0000
Co 4.7841 2.7621 1.9531
Na 2.3920 1.3810 0.9765
Na 7.1761 4.1431 2.9296
```

# 3
NaCrCoSn2 | PBEsol | relaxed Values from VASP.

Summary:
Its space group is No. 123. The crystal system is tetragonal. The calculation puts the formation energy at 0.587 eV/atom. Its total moment is 1.030 μB per atom. The density of states at the Fermi level comes out at 2.72 states/eV/cell. The calculation puts the total energy at -4.992 eV/atom.

```
&SYSTEM
  ibrav = 0, nat = 5, ntyp = 4
/
ATOMIC_SPECIES
Cr 52.00 Cr.upf
Co 58.93 Co.upf
Sn 118.71 Sn.upf
Na 22.99 Na.upf
CELL_PARAMETERS angstrom
4.7656 0.0000 0.0000
0.0000 4.7656 0.0000
0.0000 0.0000 4.9933
ATOMIC_POSITIONS angstrom
Cr 2.3828 2.3828 2.4966
Co 0.0000 0.0000 0.0000
Sn 0.0000 2.3828 0.0000
Sn 2.3828 0.0000 0.0000
Na 0.0000 0.0000 2.4966
```

# 4
NaCrCo2Tc | PBEsol | relaxed Values from VASP.

Summary:
Its space group is No. 123. The crystal system is tetragonal. The calculation puts the formation energy at 1.800 eV/atom. Its total moment is 0.962 μB per atom. The density of states at the Fermi level comes out at 5.53 states/eV/cell. The calculation puts the total energy at -5.876 eV/atom.

```
&SYSTEM
  ibrav = 0, nat = 5, ntyp = 4
/
ATOMIC_SPECIES
Cr 52.00 Cr.upf
Co 58.93 Co.upf
Tc 98.00 Tc.upf
Na 22.99 Na.upf
CELL_PARAMETERS angstrom
-2.8366 2.1873 -1.9798
-2.9502 -2.0955 1.9119
0.0090 3.0413 3.3473
ATOMIC_POSITIONS angstrom
Cr 0.0000 0.0000 0.0000
Co -1.4751 -1.0478 0.9559
Co -1.4183 1.0937 -0.9899
Tc -2.8889 1.5665 1.6397
Na 0.0045 1.5206 1.6736
```

Which value of total moment does entry 4 give?
0.962 μB per atom